[1]
{
  "formula": "Li2YTlCl6",
  "functional": "GGA-PBE",
  "state": "optimized geometry",
  "lattice_angstrom": [[-1.1761, 2.7893, 6.2595], [1.8176, -3.4646, 5.7487], [5.9488, 2.5326, 3.8535]],
  "species": ["Li", "Li", "Y", "Tl", "Cl", "Cl", "Cl", "Cl", "Cl", "Cl"],
  "frac_coords": [[0.5293, 0.5294, 0.4117], [0.0166, 0.0165, 0.9510], [0.3206, 0.3206, 0.0383], [0.7993, 0.7995, 0.6019], [0.5847, 0.2658, 0.2385], [0.2658, 0.9108, 0.2384], [0.9107, 0.5847, 0.2385], [0.3272, 0.7348, 0.7657], [0.7348, 0.1723, 0.7658], [0.1726, 0.3274, 0.7655]],
  "m_tot_mub_per_atom": 0.000,
  "dft_energy_ev_per_cell": -41.96,
  "n_ef_per_ev_cell": 0.00,
  "raw_formation_energy_ev_per_atom": -1.822
}

---

[2]
{
  "formula": "LiTlZnCl6",
  "functional": "GGA-PBE",
  "state": "optimized geometry",
  "lattice_angstrom": [[6.4725, 0.0000, 0.0000], [-3.2363, 5.6054, 0.0000], [0.0000, 0.0000, 11.8232]],
  "species": ["Li", "Li", "Tl", "Tl", "Zn", "Zn", "Cl", "Cl", "Cl", "Cl", "Cl", "Cl", "Cl", "Cl", "Cl", "Cl", "Cl", "Cl"],
  "frac_coords": [[0.0000, 0.0000, 0.0000], [0.0000, 0.0000, 0.5000], [0.3333, 0.6667, 0.2500], [0.6667, 0.3333, 0.7500], [0.6667, 0.3333, 0.2500], [0.3333, 0.6667, 0.7500], [0.6634, 0.6461, 0.1281], [0.9827, 0.3366, 0.1281], [0.3366, 0.9827, 0.6281], [0.0173, 0.6634, 0.8719], [0.3539, 0.3366, 0.3719], [0.9827, 0.6461, 0.3719], [0.6461, 0.9827, 0.8719], [0.6634, 0.0173, 0.3719], [0.0173, 0.3539, 0.6281], [0.3539, 0.0173, 0.1281], [0.6461, 0.6634, 0.6281], [0.3366, 0.3539, 0.8719]],
  "m_tot_mub_per_atom": 0.000,
  "dft_energy_ev_per_cell": -51.67,
  "n_ef_per_ev_cell": 0.00,
  "raw_formation_energy_ev_per_atom": -1.023
}